DFT (PBE with a Hubbard U) results for crystalline Rb2TlFeF6 at its relaxed geometry.

The structure in POSCAR format:
```
Rb2TlFeF6
1.0
-3.121 2.249 -5.269
-1.638 -4.088 -4.813
-6.263 -1.537 -0.985
F Rb Fe Tl
6 2 1 1
Direct
0.287 0.713 0.287
0.287 0.713 0.713
0.713 0.287 0.713
0.713 0.713 0.287
0.713 0.287 0.287
0.287 0.287 0.713
0.750 0.750 0.750
0.250 0.250 0.250
0.500 0.500 0.500
0.000 0.000 0.000
```

Total energy, eV/atom: -4.630
SG: Fm-3m, No. 225
Size of the total moment, μB/cell: 5.00